(1)
Compound: Na4Nd
Source: the Alexandria database
Functional: PBE
Structure: optimized geometry

a = 6.605 Å, b = 6.605 Å, c = 6.605 Å
α = 90.00°, β = 90.00°, γ = 90.00°
Element x y z (fractional)
Na (0.000, 0.500, 0.500)
Nd (0.500, 0.500, 0.500)
Na (0.500, 0.500, 0.000)
Na (0.500, 0.000, 0.500)
Na (0.000, 0.000, 0.000)

Computed properties:
- ΔE_f: 388 kJ/mol of formula units
- SG: Pm-3m, No. 221
- Volume: 288.1 Å³/cell

***

(2)
Compound: Na2Nd
Source: the Alexandria database
Functional: PBE
Structure: optimized geometry

a = 6.592 Å, b = 6.592 Å, c = 6.592 Å
α = 60.00°, β = 60.00°, γ = 60.00°
Element x y z (fractional)
Na (0.625, 0.125, 0.625)
Nd (0.000, 0.000, 0.000)
Na (0.625, 0.625, 0.125)
Nd (0.250, 0.250, 0.250)
Na (0.125, 0.625, 0.625)
Na (0.625, 0.625, 0.625)

Computed properties:
- ΔE_f: 80 kJ/mol of formula units
- SG: Fd-3m, No. 227
- Volume: 202.5 Å³/cell

***

(3)
Compound: Na3Nd
Source: the Alexandria database
Functional: PBE
Structure: optimized geometry

a = 7.421 Å, b = 7.421 Å, c = 5.916 Å
α = 90.00°, β = 90.00°, γ = 120.00°
Element x y z (fractional)
Na (0.165, 0.330, 0.250)
Na (0.670, 0.835, 0.250)
Na (0.165, 0.835, 0.250)
Na (0.835, 0.670, 0.750)
Nd (0.667, 0.333, 0.250)
Nd (0.333, 0.667, 0.750)
Na (0.835, 0.165, 0.750)
Na (0.330, 0.165, 0.750)

Computed properties:
- ΔE_f: 121 kJ/mol of formula units
- SG: P6_3/mmc, No. 194
- Volume: 282.2 Å³/cell